1.
Here is a relaxed structure of TcAgCl from the Alexandria database. Energies are from PBE-GGA.

Calculated values
E_form (uncorrected) = 786 meV/atom
ΔE to the lowest computed polymorph = 131 kJ/mol of formula units

a b c (Å): 4.5068 4.5068 2.8624
angles (deg): 90.00 90.00 120.00
Space group P-6m2 (No. 187)
Unique sites:
Tc 0.0000 0.0000 0.0000 (multiplicity 1)
Ag 0.6667 0.3333 0.5000 (multiplicity 1)
Cl 0.3333 0.6667 0.0000 (multiplicity 1)

=====

2.
Here is a relaxed structure of HoScTl from the Alexandria database. Energies are from PBE-GGA.

Calculated values
ΔE_f = -0.205 eV per atom
ΔE to the lowest computed polymorph = 18 kJ/mol of formula units

a b c (Å): 3.452 3.452 13.222
angles (deg): 90.00 90.00 90.00
Space group I4mm (No. 107)
Unique sites:
Ho 0.000 0.000 0.000 (multiplicity 2)
Sc 0.000 0.000 0.677 (multiplicity 2)
Tl 0.000 0.000 0.329 (multiplicity 2)

=====

3.
Here is a relaxed structure of Ce5Zn3Cd from the Alexandria database. Energies are from PBE-GGA.

Calculated values
ΔE_f = -0.075 eV per atom

a b c (Å): 8.9050 8.9050 6.4255
angles (deg): 90.00 90.00 120.00
Space group P6_3/mcm (No. 193)
Unique sites:
Ce 0.0000 0.3344 0.2500 (multiplicity 6)
Ce 0.3333 0.6667 0.0000 (multiplicity 4)
Zn 0.0000 0.3295 0.7500 (multiplicity 6)
Cd 0.0000 0.0000 0.0000 (multiplicity 2)

=====

4.
Here is a relaxed structure of ScRhO3 from the Alexandria database. Energies are from PBE-GGA.

Calculated values
E_form (uncorrected) = -2089 meV/atom

a b c (Å): 7.551 7.548 10.431
angles (deg): 90.00 133.26 90.00
Space group P2_1/c (No. 14)
Unique sites:
Sc 0.061 0.232 0.287 (multiplicity 4)
Sc 0.435 0.741 0.725 (multiplicity 4)
Rh 0.000 0.000 0.000 (multiplicity 2)
Rh 0.000 0.000 0.500 (multiplicity 2)
Rh 0.500 0.000 0.000 (multiplicity 2)
Rh 0.500 0.000 0.500 (multiplicity 2)
O 0.075 0.748 0.965 (multiplicity 4)
O 0.142 0.544 0.753 (multiplicity 4)
O 0.217 0.602 0.254 (multiplicity 4)
O 0.291 0.104 0.544 (multiplicity 4)
O 0.351 0.033 0.111 (multiplicity 4)
O 0.422 0.250 0.389 (multiplicity 4)

=====

5.
Here is a relaxed structure of MgTiCu2H from the Alexandria database. Energies are from PBE-GGA.

a b c (Å): 4.719 4.719 5.705
angles (deg): 90.00 90.00 90.00
Space group P4/mmm (No. 123)
Unique sites:
Mg 0.000 0.000 0.000 (multiplicity 1)
Ti 0.000 0.000 0.500 (multiplicity 1)
Cu 0.000 0.500 0.500 (multiplicity 2)
H 0.500 0.500 0.000 (multiplicity 1)

=====

6.
Here is a relaxed structure of RbPb12 from the Alexandria database. Energies are from PBE-GGA.

Calculated values
ΔE_f = -0.024 eV per atom
ΔE to the lowest computed polymorph = 0 kJ/mol of formula units

a b c (Å): 11.608 11.608 6.621
angles (deg): 90.00 90.00 90.00
Space group I4/mmm (No. 139)
Unique sites:
Rb 0.000 0.000 0.000 (multiplicity 2)
Pb 0.000 0.220 0.500 (multiplicity 8)
Pb 0.000 0.355 0.000 (multiplicity 8)
Pb 0.250 0.250 0.250 (multiplicity 8)

=====

7.
Here is a relaxed structure of CeSc5Co6 from the Alexandria database. Energies are from PBE-GGA.

Calculated values
ΔE_f = -0.317 eV per atom

a b c (Å): 4.489 6.335 13.390
angles (deg): 90.00 90.00 90.00
Space group Immm (No. 71)
Unique sites:
Ce 0.000 0.000 0.000 (multiplicity 2)
Sc 0.000 0.000 0.335 (multiplicity 4)
Sc 0.000 0.500 0.000 (multiplicity 2)
Sc 0.000 0.500 0.325 (multiplicity 4)
Co 0.000 0.247 0.165 (multiplicity 8)
Co 0.000 0.253 0.500 (multiplicity 4)

=====

8.
Here is a relaxed structure of In2TePtF from the Alexandria database. Energies are from PBE-GGA.

Calculated values
E_form (uncorrected) = -62 meV/atom

a b c (Å): 4.683 4.683 5.227
angles (deg): 90.00 90.00 90.00
Space group P4/mmm (No. 123)
Unique sites:
In 0.000 0.500 0.000 (multiplicity 2)
Te 0.000 0.000 0.500 (multiplicity 1)
Pt 0.500 0.500 0.500 (multiplicity 1)
F 0.000 0.000 0.000 (multiplicity 1)

=====

9.
Here is a relaxed structure of CaDyTh2 from the Alexandria database. Energies are from PBE-GGA.

Calculated values
ΔE_f = 0.236 eV per atom
ΔE to the lowest computed polymorph = 42 kJ/mol of formula units

a b c (Å): 3.5044 3.5044 38.6125
angles (deg): 90.00 90.00 120.00
Space group R-3m (No. 166, hexagonal axes)
Unique sites:
Ca 0.0000 0.0000 0.0000 (multiplicity 3)
Dy 0.0000 0.0000 0.5000 (multiplicity 3)
Th 0.0000 0.0000 0.0899 (multiplicity 6)

=====

10.
Here is a relaxed structure of TiHPt2Rh from the Alexandria database. Energies are from PBE-GGA.

Calculated values
ΔE to the lowest computed polymorph = 25 kJ/mol of formula units

a b c (Å): 3.898 3.898 4.148
angles (deg): 90.00 90.00 90.00
Space group P4/mmm (No. 123)
Unique sites:
Ti 0.000 0.000 0.000 (multiplicity 1)
H 0.000 0.000 0.500 (multiplicity 1)
Pt 0.000 0.500 0.500 (multiplicity 2)
Rh 0.500 0.500 0.000 (multiplicity 1)

=====

11.
Here is a relaxed structure of Ag5Sb2Pd12 from the Alexandria database. Energies are from PBE-GGA.

Calculated values
E_form (uncorrected) = -161 meV/atom

a b c (Å): 13.882 9.416 5.035
angles (deg): 90.00 102.78 90.00
Space group C2/m (No. 12)
Unique sites:
Ag 0.000 0.000 0.000 (multiplicity 2)
Ag 0.181 0.500 0.377 (multiplicity 4)
Ag 0.215 0.000 0.060 (multiplicity 4)
Sb 0.000 0.255 0.500 (multiplicity 4)
Pd 0.055 0.500 0.787 (multiplicity 4)
Pd 0.101 0.254 0.127 (multiplicity 8)
Pd 0.105 0.000 0.518 (multiplicity 4)
Pd 0.197 0.251 0.712 (multiplicity 8)

=====

12.
Here is a relaxed structure of CePd2Pt3 from the Alexandria database. Energies are from PBE-GGA.

Calculated values
ΔE_f = -0.482 eV per atom
ΔE to the lowest computed polymorph = 91 kJ/mol of formula units

a b c (Å): 5.700 14.090 5.351
angles (deg): 90.00 90.00 90.00
Space group Cmcm (No. 63)
Unique sites:
Ce 0.000 0.157 0.250 (multiplicity 4)
Pd 0.237 0.500 0.000 (multiplicity 8)
Pt 0.000 0.341 0.750 (multiplicity 4)
Pt 0.246 0.170 0.750 (multiplicity 8)

=====

Computed values of VASP energy (unit: eV/atom) for the preceding records, in sequence: -4.24 -4.63 -3.90 -7.80 -2.66 -3.52 -7.00 -3.37 -5.12 -6.63 -4.62 -6.22.